CrMoPt2 | PBE | optimized geometry

Energy of formation in eV per atom: -0.2273
Excess energy over the best structure of this formula in the dataset in meV/atom: 14
Total moment in μB per cell: 2.1
ρ in Mg/m³: 15.1

Lattice parameters (Å, degrees): 3.837 3.837 8.012 90.00 90.00 90.00
Space group I4/mmm (No. 139)
Symmetry-distinct sites (fractional):
1 Cr 0.000 0.000 0.000 (multiplicity 2)
2 Mo 0.000 0.000 0.500 (multiplicity 2)
3 Pt 0.000 0.500 0.250 (multiplicity 4)